# GaSb2TeS | Alexandria via LeMat-Bulk | GGA-PBE | relaxed
data_GaSb2TeS
_chemical_formula_sum 'Ga1 Sb2 Te1 S1'
_symmetry_space_group_name_H-M 'P 1'
_symmetry_Int_Tables_number 1
_symmetry_space_group_name_Hall 'P 1'
_cell_length_a 5.2616
_cell_length_b 5.2616
_cell_length_c 5.3473
_cell_angle_alpha 90.00
_cell_angle_beta 90.00
_cell_angle_gamma 90.00
loop_
_atom_site_label
_atom_site_type_symbol
_atom_site_fract_x
_atom_site_fract_y
_atom_site_fract_z
Ga1 Ga 0.5000 0.5000 0.5000
Te1 Te 0.0000 0.0000 0.5000
Sb1 Sb 0.0000 0.5000 0.0000
Sb2 Sb 0.5000 0.0000 0.0000
S1 S 0.0000 0.0000 0.0000
# Symmetry: No. 123
# DFT total energy in eV per atom: -3.23
# Uncorrected formation energy in eV/atom: 0.474
# Calculated density in g/cm3: 5.30